A plane-wave DFT calculation with GGA-PBE was carried out for a geometry-optimized Cu2Ge2P structure.

Structure (POSCAR):
```
Cu2Ge2P
1.0
6.4214 0.0000 0.0000
0.0000 6.4214 0.0000
0.0000 0.0000 3.8401
Cu Ge P
4 4 2
Direct
0.1384 0.3616 0.0000
0.3616 0.8616 0.0000
0.6384 0.1384 0.0000
0.8616 0.6384 0.0000
0.1629 0.6629 0.5000
0.3371 0.1629 0.5000
0.6629 0.8371 0.5000
0.8371 0.3371 0.5000
0.0000 0.0000 0.0000
0.5000 0.5000 0.0000
```

DOS at the Fermi energy = 3.96 states/eV/cell
total magnetization = 0.0 μB per formula unit
E_tot = -4.3008 eV/atom
crystal system = tetragonal